Record 1
# SrMg2Be

A relaxed SrMg2Be crystal (GGA-PBEsol, the Alexandria database).

a = 3.724 Å, b = 4.580 Å, c = 6.145 Å
α = 90.00°, β = 104.75°, γ = 90.00°
Fractional coordinates of all 4 atoms:
Sr (0.000, 0.000, 0.000)
Mg (0.350, 0.500, 0.694)
Mg (0.650, 0.500, 0.306)
Be (0.500, 0.000, 0.500)

**Crystal system**: monoclinic
**Uncorrected energy**: -1.991 eV per atom
**Calculated volume**: 101 Å³/cell

***

Record 2
# SrMg2BeW

A relaxed SrMg2BeW crystal (GGA-PBEsol, the Alexandria database).

a = 5.217 Å, b = 5.217 Å, c = 5.370 Å
α = 90.00°, β = 90.00°, γ = 90.00°
Fractional coordinates of all 5 atoms:
Sr (0.000, 0.000, 0.000)
Mg (0.000, 0.500, 0.500)
Mg (0.500, 0.000, 0.500)
Be (0.500, 0.500, 0.000)
W (0.000, 0.000, 0.500)

**Crystal system**: tetragonal
**Uncorrected energy**: -2.944 eV per atom
**Calculated volume**: 146 Å³/cell

***

Record 3
# Mg2TaBe

A relaxed Mg2TaBe crystal (GGA-PBEsol, the Alexandria database).

a = 5.547 Å, b = 5.547 Å, c = 2.680 Å
α = 100.39°, β = 100.39°, γ = 120.32°
Fractional coordinates of all 4 atoms:
Mg (0.000, 0.500, 0.000)
Mg (0.500, 0.000, 0.000)
Ta (0.000, 0.000, 0.500)
Be (0.500, 0.500, 0.500)

**Crystal system**: monoclinic
**Uncorrected energy**: -4.587 eV per atom
**Calculated volume**: 66 Å³/cell

***

Record 4
# Mg2TaBe

A relaxed Mg2TaBe crystal (GGA-PBEsol, the Alexandria database).

a = 9.552 Å, b = 9.552 Å, c = 9.552 Å
α = 17.56°, β = 17.56°, γ = 17.56°
Fractional coordinates of all 4 atoms:
Mg (0.000, 0.000, 0.000)
Mg (0.237, 0.237, 0.237)
Ta (0.481, 0.481, 0.481)
Be (0.742, 0.742, 0.742)

**Crystal system**: trigonal
**Uncorrected energy**: -4.637 eV per atom
**Calculated volume**: 69 Å³/cell

***

Record 5
# Mg2TaBe

A relaxed Mg2TaBe crystal (GGA-PBEsol, the Alexandria database).

a = 2.863 Å, b = 4.455 Å, c = 5.308 Å
α = 90.00°, β = 102.18°, γ = 90.00°
Fractional coordinates of all 4 atoms:
Mg (0.158, 0.000, 0.261)
Mg (0.842, 0.000, 0.739)
Ta (0.500, 0.500, 0.000)
Be (0.000, 0.500, 0.500)

**Crystal system**: monoclinic
**Uncorrected energy**: -4.531 eV per atom
**Calculated volume**: 66 Å³/cell

***

Record 6
# Mg2TaBe

A relaxed Mg2TaBe crystal (GGA-PBEsol, the Alexandria database).

a = 5.338 Å, b = 5.338 Å, c = 2.699 Å
α = 90.00°, β = 90.00°, γ = 118.60°
Fractional coordinates of all 4 atoms:
Mg (0.000, 0.500, 0.000)
Mg (0.500, 0.000, 0.000)
Ta (0.000, 0.000, 0.500)
Be (0.500, 0.500, 0.500)

**Crystal system**: orthorhombic
**Uncorrected energy**: -4.535 eV per atom
**Calculated volume**: 68 Å³/cell

***

Record 7
# Mg4BeTc

A relaxed Mg4BeTc crystal (GGA-PBEsol, the Alexandria database).

a = 5.314 Å, b = 5.314 Å, c = 5.314 Å
α = 60.00°, β = 60.00°, γ = 60.00°
Fractional coordinates of all 6 atoms:
Mg (0.376, 0.376, 0.376)
Mg (0.376, 0.376, 0.873)
Mg (0.376, 0.873, 0.376)
Mg (0.873, 0.376, 0.376)
Be (0.000, 0.000, 0.000)
Tc (0.750, 0.750, 0.750)

**Crystal system**: cubic
**Uncorrected energy**: -2.875 eV per atom
**Calculated volume**: 106 Å³/cell

***

Record 8
# Mg2BeTc

A relaxed Mg2BeTc crystal (GGA-PBEsol, the Alexandria database).

a = 4.980 Å, b = 4.980 Å, c = 2.675 Å
α = 90.00°, β = 90.00°, γ = 115.98°
Fractional coordinates of all 4 atoms:
Mg (0.000, 0.500, 0.000)
Mg (0.500, 0.000, 0.000)
Be (0.000, 0.000, 0.500)
Tc (0.500, 0.500, 0.500)

**Crystal system**: orthorhombic
**Uncorrected energy**: -4.315 eV per atom
**Calculated volume**: 60 Å³/cell

***

Record 9
# Mg2BeTc2

A relaxed Mg2BeTc2 crystal (GGA-PBEsol, the Alexandria database).

a = 7.871 Å, b = 7.871 Å, c = 7.871 Å
α = 154.87°, β = 154.87°, γ = 35.83°
Fractional coordinates of all 5 atoms:
Mg (0.097, 0.097, 0.000)
Mg (0.903, 0.903, 0.000)
Be (0.500, 0.500, 0.000)
Tc (0.250, 0.750, 0.500)
Tc (0.750, 0.250, 0.500)

**Crystal system**: tetragonal
**Uncorrected energy**: -5.294 eV per atom
**Calculated volume**: 88 Å³/cell

***

Record 10
# MgBeTc2

A relaxed MgBeTc2 crystal (GGA-PBEsol, the Alexandria database).

a = 4.210 Å, b = 4.210 Å, c = 4.210 Å
α = 60.00°, β = 60.00°, γ = 60.00°
Fractional coordinates of all 4 atoms:
Mg (0.000, 0.000, 0.000)
Be (0.250, 0.250, 0.250)
Tc (0.500, 0.500, 0.500)
Tc (0.750, 0.750, 0.750)

**Crystal system**: cubic
**Uncorrected energy**: -6.994 eV per atom
**Calculated volume**: 53 Å³/cell

***

Record 11
# Mg2BeTc

A relaxed Mg2BeTc crystal (GGA-PBEsol, the Alexandria database).

a = 2.741 Å, b = 2.741 Å, c = 8.483 Å
α = 90.00°, β = 90.00°, γ = 104.93°
Fractional coordinates of all 4 atoms:
Mg (0.000, 0.000, 0.000)
Mg (0.500, 0.500, 0.317)
Be (0.500, 0.500, 0.761)
Tc (0.000, 0.000, 0.573)

**Crystal system**: orthorhombic
**Uncorrected energy**: -4.404 eV per atom
**Calculated volume**: 62 Å³/cell

***

Record 12
# MgBeTc2

A relaxed MgBeTc2 crystal (GGA-PBEsol, the Alexandria database).

a = 8.673 Å, b = 8.673 Å, c = 8.673 Å
α = 17.98°, β = 17.98°, γ = 17.98°
Fractional coordinates of all 4 atoms:
Mg (0.000, 0.000, 0.000)
Be (0.500, 0.500, 0.500)
Tc (0.242, 0.242, 0.242)
Tc (0.758, 0.758, 0.758)

**Crystal system**: trigonal
**Uncorrected energy**: -6.748 eV per atom
**Calculated volume**: 54 Å³/cell

***

Record 13
# MgBe2Tc

A relaxed MgBe2Tc crystal (GGA-PBEsol, the Alexandria database).

a = 4.083 Å, b = 4.083 Å, c = 4.083 Å
α = 60.00°, β = 60.00°, γ = 60.00°
Fractional coordinates of all 4 atoms:
Mg (0.000, 0.000, 0.000)
Be (0.500, 0.500, 0.500)
Be (0.750, 0.750, 0.750)
Tc (0.250, 0.250, 0.250)

**Crystal system**: cubic
**Uncorrected energy**: -4.819 eV per atom
**Calculated volume**: 48 Å³/cell

***

Record 14
# MgBe3Tc

A relaxed MgBe3Tc crystal (GGA-PBEsol, the Alexandria database).

a = 4.048 Å, b = 4.048 Å, c = 4.048 Å
α = 90.00°, β = 90.00°, γ = 90.00°
Fractional coordinates of all 5 atoms:
Mg (0.000, 0.000, 0.000)
Be (0.000, 0.000, 0.500)
Be (0.000, 0.500, 0.000)
Be (0.500, 0.000, 0.000)
Tc (0.500, 0.500, 0.500)

**Crystal system**: cubic
**Uncorrected energy**: -3.301 eV per atom
**Calculated volume**: 66 Å³/cell

***

Record 15
# MgBeTc

A relaxed MgBeTc crystal (GGA-PBEsol, the Alexandria database).

a = 4.103 Å, b = 4.103 Å, c = 4.103 Å
α = 60.00°, β = 60.00°, γ = 60.00°
Fractional coordinates of all 3 atoms:
Mg (0.000, 0.000, 0.000)
Be (0.500, 0.500, 0.500)
Tc (0.250, 0.250, 0.250)

**Crystal system**: cubic
**Uncorrected energy**: -4.562 eV per atom
**Calculated volume**: 49 Å³/cell

***

Record 16
# MgBe2Tc

A relaxed MgBe2Tc crystal (GGA-PBEsol, the Alexandria database).

a = 3.828 Å, b = 3.828 Å, c = 3.183 Å
α = 90.00°, β = 90.00°, γ = 90.00°
Fractional coordinates of all 4 atoms:
Mg (0.000, 0.000, 0.000)
Be (0.000, 0.500, 0.500)
Be (0.500, 0.000, 0.500)
Tc (0.500, 0.500, 0.000)

**Crystal system**: tetragonal
**Uncorrected energy**: -5.167 eV per atom
**Calculated volume**: 47 Å³/cell

***

Record 17
# MgBe4Te

A relaxed MgBe4Te crystal (GGA-PBEsol, the Alexandria database).

a = 4.829 Å, b = 4.829 Å, c = 4.829 Å
α = 60.00°, β = 60.00°, γ = 60.00°
Fractional coordinates of all 6 atoms:
Mg (0.000, 0.000, 0.000)
Be (0.110, 0.630, 0.630)
Be (0.630, 0.110, 0.630)
Be (0.630, 0.630, 0.110)
Be (0.630, 0.630, 0.630)
Te (0.250, 0.250, 0.250)

**Crystal system**: cubic
**Uncorrected energy**: -3.092 eV per atom
**ΔE_f (raw)**: 0.45 eV per atom
**Calculated volume**: 80 Å³/cell

***

Record 18
# MgBeTl2

A relaxed MgBeTl2 crystal (GGA-PBEsol, the Alexandria database).

a = 3.340 Å, b = 3.340 Å, c = 7.725 Å
α = 90.00°, β = 90.00°, γ = 102.28°
Fractional coordinates of all 4 atoms:
Mg (0.000, 0.000, 0.000)
Be (0.000, 0.000, 0.500)
Tl (0.500, 0.500, 0.283)
Tl (0.500, 0.500, 0.717)

**Crystal system**: orthorhombic
**Uncorrected energy**: -2.405 eV per atom
**Calculated volume**: 84 Å³/cell

***

Record 19
# Mg2BeW

A relaxed Mg2BeW crystal (GGA-PBEsol, the Alexandria database).

a = 2.925 Å, b = 4.492 Å, c = 4.622 Å
α = 90.00°, β = 90.00°, γ = 90.00°
Fractional coordinates of all 4 atoms:
Mg (0.000, 0.000, 0.000)
Mg (0.500, 0.500, 0.000)
Be (0.000, 0.500, 0.500)
W (0.500, 0.000, 0.500)

**Crystal system**: orthorhombic
**Uncorrected energy**: -4.735 eV per atom
**Calculated volume**: 61 Å³/cell

***

Record 20
# Mg2BeW

A relaxed Mg2BeW crystal (GGA-PBEsol, the Alexandria database).

a = 9.340 Å, b = 9.340 Å, c = 9.340 Å
α = 17.43°, β = 17.43°, γ = 17.43°
Fractional coordinates of all 4 atoms:
Mg (0.245, 0.245, 0.245)
Mg (0.755, 0.755, 0.755)
Be (0.500, 0.500, 0.500)
W (0.000, 0.000, 0.000)

**Crystal system**: trigonal
**Uncorrected energy**: -4.756 eV per atom
**Calculated volume**: 64 Å³/cell

***

Record 21
# Mg2BeW

A relaxed Mg2BeW crystal (GGA-PBEsol, the Alexandria database).

a = 9.340 Å, b = 9.340 Å, c = 9.340 Å
α = 17.60°, β = 17.60°, γ = 17.60°
Fractional coordinates of all 4 atoms:
Mg (0.000, 0.000, 0.000)
Mg (0.235, 0.235, 0.235)
Be (0.490, 0.490, 0.490)
W (0.753, 0.753, 0.753)

**Crystal system**: trigonal
**Uncorrected energy**: -4.871 eV per atom
**Calculated volume**: 65 Å³/cell

***

Record 22
# MgBeW

A relaxed MgBeW crystal (GGA-PBEsol, the Alexandria database).

a = 2.784 Å, b = 2.784 Å, c = 6.671 Å
α = 90.00°, β = 90.00°, γ = 120.00°
Fractional coordinates of all 3 atoms:
Mg (0.000, 0.000, 0.000)
Be (0.333, 0.667, 0.336)
W (0.667, 0.333, 0.632)

**Crystal system**: trigonal
**Uncorrected energy**: -5.985 eV per atom
**Calculated volume**: 45 Å³/cell

***

Record 23
# MgBeW

A relaxed MgBeW crystal (GGA-PBEsol, the Alexandria database).

a = 6.298 Å, b = 6.298 Å, c = 6.298 Å
α = 155.39°, β = 155.39°, γ = 35.08°
Fractional coordinates of all 3 atoms:
Mg (0.000, 0.000, 0.000)
Be (0.333, 0.333, 0.000)
W (0.691, 0.691, 0.000)

**Crystal system**: tetragonal
**Uncorrected energy**: -6.111 eV per atom
**Calculated volume**: 43 Å³/cell

***

Record 24
# YMg3Be

A relaxed YMg3Be crystal (GGA-PBEsol, the Alexandria database).

a = 4.761 Å, b = 4.761 Å, c = 4.761 Å
α = 90.00°, β = 90.00°, γ = 90.00°
Fractional coordinates of all 5 atoms:
Y (0.000, 0.000, 0.000)
Mg (0.000, 0.500, 0.500)
Mg (0.500, 0.000, 0.500)
Mg (0.500, 0.500, 0.000)
Be (0.500, 0.500, 0.500)

**Crystal system**: cubic
**Uncorrected energy**: -3.002 eV per atom
**Calculated volume**: 108 Å³/cell

***

Record 25
# YMgBe2

A relaxed YMgBe2 crystal (GGA-PBEsol, the Alexandria database).

a = 10.608 Å, b = 10.608 Å, c = 10.608 Å
α = 159.91°, β = 159.91°, γ = 28.56°
Fractional coordinates of all 8 atoms:
Y (0.107, 0.107, 0.000)
Y (0.893, 0.893, 0.000)
Mg (0.290, 0.290, 0.000)
Mg (0.710, 0.710, 0.000)
Be (0.000, 0.500, 0.500)
Be (0.447, 0.447, 0.000)
Be (0.500, 0.000, 0.500)
Be (0.553, 0.553, 0.000)

**Crystal system**: tetragonal
**Uncorrected energy**: -4.212 eV per atom
**Calculated volume**: 141 Å³/cell

***

Record 26
# Y2MgBe

A relaxed Y2MgBe crystal (GGA-PBEsol, the Alexandria database).

a = 9.473 Å, b = 9.473 Å, c = 9.473 Å
α = 21.21°, β = 21.21°, γ = 21.21°
Fractional coordinates of all 4 atoms:
Y (0.000, 0.000, 0.000)
Y (0.227, 0.227, 0.227)
Mg (0.463, 0.463, 0.463)
Be (0.737, 0.737, 0.737)

**Crystal system**: trigonal
**Uncorrected energy**: -4.543 eV per atom
**Calculated volume**: 97 Å³/cell

***

Record 27
# Y2MgBe

A relaxed Y2MgBe crystal (GGA-PBEsol, the Alexandria database).

a = 5.066 Å, b = 5.066 Å, c = 5.066 Å
α = 60.00°, β = 60.00°, γ = 60.00°
Fractional coordinates of all 4 atoms:
Y (0.000, 0.000, 0.000)
Y (0.250, 0.250, 0.250)
Mg (0.750, 0.750, 0.750)
Be (0.500, 0.500, 0.500)

**Crystal system**: cubic
**Uncorrected energy**: -4.437 eV per atom
**Calculated volume**: 92 Å³/cell

***

Record 28
# YMgBe

A relaxed YMgBe crystal (GGA-PBEsol, the Alexandria database).

a = 4.588 Å, b = 4.588 Å, c = 4.588 Å
α = 60.00°, β = 60.00°, γ = 60.00°
Fractional coordinates of all 3 atoms:
Y (0.000, 0.000, 0.000)
Mg (0.250, 0.250, 0.250)
Be (0.500, 0.500, 0.500)

**Crystal system**: cubic
**Uncorrected energy**: -3.522 eV per atom
**Calculated volume**: 68 Å³/cell

***

Record 29
# YMgBe2

A relaxed YMgBe2 crystal (GGA-PBEsol, the Alexandria database).

a = 6.164 Å, b = 6.164 Å, c = 6.164 Å
α = 36.28°, β = 36.28°, γ = 36.28°
Fractional coordinates of all 4 atoms:
Y (0.000, 0.000, 0.000)
Mg (0.187, 0.187, 0.187)
Be (0.439, 0.439, 0.439)
Be (0.772, 0.772, 0.772)

**Crystal system**: trigonal
**Uncorrected energy**: -4.004 eV per atom
**Calculated volume**: 73 Å³/cell

***

Record 30
# Y2MgBe

A relaxed Y2MgBe crystal (GGA-PBEsol, the Alexandria database).

a = 3.430 Å, b = 3.430 Å, c = 7.771 Å
α = 90.00°, β = 90.00°, γ = 90.00°
Fractional coordinates of all 4 atoms:
Y (0.000, 0.000, 0.207)
Y (0.000, 0.000, 0.793)
Mg (0.500, 0.500, 0.500)
Be (0.500, 0.500, 0.000)

**Crystal system**: tetragonal
**Uncorrected energy**: -4.858 eV per atom
**Calculated volume**: 91 Å³/cell